The following is a PBE-GGA calculation of an optimized crystal structure of La6GaSi2Br3, from the Alexandria database.

The structure belongs to space group C2/m (No. 12); the cell edges are 19.403, 4.399 and 8.926 Å and the angles 90.00°, 103.79° and 90.00°. The distinct sites, in fractional coordinates, are La at (0.007, 0.000, 0.240), La at (0.162, 0.500, 0.103), La at (0.174, 0.500, 0.565), Ga at (0.000, 0.500, 0.000), Si at (0.167, 0.000, 0.334), Br at (0.000, 0.500, 0.500) and Br at (0.167, 0.000, 0.832).

The calculation puts the volume at 30.8 Å³/atom. The calculation puts the formation energy (no corrections) at -13.0 eV/f.u. As for the total energy: -122.89 eV for the cell shown.


The following is a PBE-GGA calculation of an optimized crystal structure of La8GaSi3Br4, from the Alexandria database.

The structure belongs to space group R-3m (No. 166, hexagonal axes); the cell edges are 8.8225, 8.8225 and 21.9533 Å and the angles 90.00°, 90.00° and 120.00°. The distinct sites, in fractional coordinates, are La at (0.0000, 0.0000, 0.2390), La at (0.0025, 0.5012, 0.7600), Ga at (0.0000, 0.0000, 0.5000), Si at (0.0000, 0.5000, 0.5000), Br at (0.0000, 0.0000, 0.0000) and Br at (0.0000, 0.5000, 0.0000).

The calculation puts the volume at 30.8 Å³/atom. The calculation puts the formation energy (no corrections) at -17.6 eV/f.u. As for the total energy: -249.02 eV for the cell shown.


The following is a PBE-GGA calculation of an optimized crystal structure of La4GaTcBr2, from the Alexandria database.

The structure belongs to space group P2/m (No. 10); the cell edges are 7.553, 4.247 and 8.273 Å and the angles 90.00°, 108.11° and 90.00°. The distinct sites, in fractional coordinates, are La at (0.228, 0.000, 0.297), La at (0.229, 0.500, 0.701), Ga at (0.500, 0.500, 0.500), Tc at (0.000, 0.000, 0.500), Br at (0.000, 0.500, 0.000) and Br at (0.500, 0.000, 0.000).

The calculation puts the volume at 31.5 Å³/atom. The calculation puts the formation energy (no corrections) at -6.6 eV/f.u. As for the total energy: -43.01 eV for the cell shown.


The following is a PBE-GGA calculation of an optimized crystal structure of LaTl2GaBr6, from the Alexandria database.

The structure belongs to space group P2_1/c (No. 14); the cell edges are 7.850, 8.440 and 13.551 Å and the angles 90.00°, 123.00° and 90.00°. The distinct sites, in fractional coordinates, are La at (0.000, 0.000, 0.000), Tl at (0.294, 0.082, 0.761), Ga at (0.500, 0.000, 0.500), Br at (0.113, 0.046, 0.244), Br at (0.247, 0.708, 0.070) and Br at (0.361, 0.184, 0.055).

The calculation puts the volume at 37.6 Å³/atom. The calculation puts the formation energy (no corrections) at -12.6 eV/f.u. As for the total energy: -70.55 eV for the cell shown.


The following is a PBE-GGA calculation of an optimized crystal structure of LaTlGa2Br6, from the Alexandria database.

The structure belongs to space group R3 (No. 146, hexagonal axes); the cell edges are 7.9347, 7.9347 and 21.2983 Å and the angles 90.00°, 90.00° and 120.00°. The distinct sites, in fractional coordinates, are La at (0.0000, 0.0000, 0.0000), Tl at (0.0000, 0.0000, 0.5097), Ga at (0.0000, 0.0000, 0.3126), Ga at (0.0000, 0.0000, 0.8066), Br at (0.0008, 0.6427, 0.7355) and Br at (0.0275, 0.2978, 0.9085).

The calculation puts the volume at 38.7 Å³/atom. The calculation puts the formation energy (no corrections) at -11.8 eV/f.u. As for the total energy: -105.65 eV for the cell shown.


The following is a PBE-GGA calculation of an optimized crystal structure of Li2GaBr5, from the Alexandria database.

The structure belongs to space group Pnnm (No. 58); the cell edges are 11.041, 13.068 and 7.591 Å and the angles 90.00°, 90.00° and 90.00°. The distinct sites, in fractional coordinates, are Li at (0.000, 0.000, 0.221), Li at (0.053, 0.265, 0.000), Ga at (0.155, 0.259, 0.500), Br at (0.016, 0.856, 0.500), Br at (0.130, 0.090, 0.000), Br at (0.146, 0.370, 0.254) and Br at (0.169, 0.657, 0.000).

The calculation puts the volume at 34.2 Å³/atom. The calculation puts the formation energy (no corrections) at -9.3 eV/f.u. As for the total energy: -98.11 eV for the cell shown.


The following is a PBE-GGA calculation of an optimized crystal structure of LiGa2Br6, from the Alexandria database.

The structure belongs to space group C2/c (No. 15); the cell edges are 14.822, 14.453 and 8.072 Å and the angles 90.00°, 121.12° and 90.00°. The distinct sites, in fractional coordinates, are Li at (0.000, 0.199, 0.250), Ga at (0.212, 0.411, 0.290), Br at (0.100, 0.093, 0.554), Br at (0.139, 0.258, 0.177) and Br at (0.149, 0.487, 0.496).

The calculation puts the volume at 41.1 Å³/atom. The calculation puts the formation energy (no corrections) at -7.8 eV/f.u. As for the total energy: -103.30 eV for the cell shown.


The following is a PBE-GGA calculation of an optimized crystal structure of LiGa2Br, from the Alexandria database.

The structure belongs to space group P1 (No. 1); the cell edges are 4.075, 4.212 and 13.322 Å and the angles 81.45°, 81.49° and 61.17°. The distinct sites, in fractional coordinates, are Li at (0.000, 0.000, 0.000), Li at (0.252, 0.251, 0.262), Ga at (0.177, 0.149, 0.518), Ga at (0.459, 0.403, 0.704), Ga at (0.532, 0.525, 0.434), Ga at (0.818, 0.781, 0.606), Br at (0.348, 0.364, 0.940) and Br at (0.944, 0.927, 0.198).

The calculation puts the volume at 24.7 Å³/atom. Its polymorph energy (0 for the lowest one) is 10 meV per atom. The calculation puts the formation energy (no corrections) at -2.6 eV/f.u. As for the total energy: -24.40 eV for the cell shown.